[1]
A relaxed Rb2ZnIn crystal. Source: Alexandria via LeMat-Bulk, functional PBE.

Energy of formation: 0.239 eV/atom

a b c (Å): 6.273 6.273 6.273
angles (deg): 60.00 60.00 60.00
Positions (direct):
Rb  0.250  0.250  0.250
Rb  0.750  0.750  0.750
Zn  0.000  0.000  0.000
In  0.500  0.500  0.500

[2]
A relaxed Rb2Zn2In crystal. Source: Alexandria via LeMat-Bulk, functional PBE.

ΔE to the lowest computed polymorph: 0.000 eV per atom
Energy of formation: 0.134 eV/atom

a b c (Å): 7.562 7.562 6.012
angles (deg): 90.00 90.00 90.00
Positions (direct):
Rb  0.182  0.318  0.000
Rb  0.318  0.818  0.000
Rb  0.682  0.182  0.000
Rb  0.818  0.682  0.000
Zn  0.127  0.627  0.500
Zn  0.373  0.127  0.500
Zn  0.627  0.873  0.500
Zn  0.873  0.373  0.500
In  0.000  0.000  0.500
In  0.500  0.500  0.500

[3]
A relaxed Rb2Zn2In crystal. Source: Alexandria via LeMat-Bulk, functional PBE.

ΔE to the lowest computed polymorph: 0.150 eV per atom
Energy of formation: 0.284 eV/atom

a b c (Å): 10.455 10.455 3.485
angles (deg): 90.00 90.00 90.00
Positions (direct):
Rb  0.197  0.303  0.000
Rb  0.303  0.803  0.000
Rb  0.697  0.197  0.000
Rb  0.803  0.697  0.000
Zn  0.090  0.590  0.500
Zn  0.410  0.090  0.500
Zn  0.590  0.910  0.500
Zn  0.910  0.410  0.500
In  0.000  0.000  0.000
In  0.500  0.500  0.000

[4]
A relaxed RbZnIn3 crystal. Source: Alexandria via LeMat-Bulk, functional PBE.

ΔE to the lowest computed polymorph: 0.000 eV per atom
Energy of formation: -0.065 eV/atom

a b c (Å): 4.905 4.905 7.070
angles (deg): 110.11 110.11 90.22
Positions (direct):
Rb  0.000  0.000  0.000
Zn  0.381  0.381  0.764
In  0.259  0.760  0.520
In  0.610  0.610  0.219
In  0.760  0.259  0.520

[5]
A relaxed RbZnIn crystal. Source: Alexandria via LeMat-Bulk, functional PBE.

ΔE to the lowest computed polymorph: 0.026 eV per atom
Energy of formation: 0.013 eV/atom

a b c (Å): 6.083 4.722 6.931
angles (deg): 90.00 102.23 90.00
Positions (direct):
Rb  0.246  0.250  0.448
Rb  0.754  0.750  0.552
Zn  0.074  0.250  0.935
Zn  0.926  0.750  0.065
In  0.344  0.750  0.911
In  0.656  0.250  0.089

[6]
A relaxed RbZrIn crystal. Source: Alexandria via LeMat-Bulk, functional PBE.

ΔE to the lowest computed polymorph: 0.307 eV per atom
Energy of formation: 0.301 eV/atom

a b c (Å): 14.196 5.754 5.493
angles (deg): 90.00 90.00 90.00
Positions (direct):
Rb  0.250  0.250  0.249
Rb  0.250  0.750  0.749
Rb  0.750  0.250  0.251
Rb  0.750  0.750  0.751
Zr  0.000  0.250  0.503
Zr  0.000  0.750  0.497
Zr  0.500  0.250  0.997
Zr  0.500  0.750  0.003
In  0.000  0.000  0.000
In  0.000  0.500  0.000
In  0.500  0.000  0.500
In  0.500  0.500  0.500